1.
A plane-wave DFT calculation with GGA-PBE was carried out for a relaxed CaAcLa2Co crystal.

- formation energy (eV/atom) = -0.038

Cell and atoms, written as POSCAR:
```
CaAcLa2Co
1.0
-2.292 -3.071 4.392
1.405 -4.703 -2.556
4.890 0.053 2.589
Co La Ac Ca
1 2 1 1
Cartesian
0.000 0.000 0.000
0.702 -2.352 -1.278
2.445 0.027 1.295
-1.146 -1.535 2.196
2.002 -3.860 2.213
```

***

2.
A plane-wave DFT calculation with GGA-PBE was carried out for a relaxed HgPb2S crystal.

- energy relative to the lowest polymorph listed for this composition (meV per atom) = 180

Cell and atoms, written as POSCAR:
```
HgPb2S
1.0
4.789 2.015 1.048
0.433 4.519 2.736
1.879 -0.071 4.956
Hg Pb S
1 2 1
Cartesian
3.550 3.232 4.370
5.325 4.847 6.554
1.775 1.616 2.185
0.000 0.000 0.000
```

***

3.
A plane-wave DFT calculation with GGA-PBE was carried out for a relaxed La5Nd2YTm crystal.

- formation energy (eV/atom) = 0.263

Cell and atoms, written as POSCAR:
```
La5Nd2YTm
1.0
8.647 0.000 0.000
0.000 8.647 0.000
-4.323 -4.323 8.687
La Y Tm Nd
10 2 2 4
Cartesian
-2.410 1.913 6.186
-1.913 -2.410 6.186
1.913 2.410 6.186
1.913 6.236 2.501
0.000 0.000 0.000
6.734 2.410 2.501
2.410 1.913 2.501
6.236 6.734 2.501
4.323 4.323 0.000
2.410 -1.913 6.186
0.000 4.323 4.344
4.323 0.000 4.344
0.000 0.000 4.344
4.323 4.323 4.344
7.573 5.397 0.000
3.250 7.573 0.000
5.397 1.073 0.000
1.073 3.250 0.000
```

***

4.
A plane-wave DFT calculation with GGA-PBE was carried out for a relaxed Ca3Hg2Au3 crystal.

- formation energy (eV/atom) = -0.589

Cell and atoms, written as POSCAR:
```
Ca3Hg2Au3
1.0
-5.592 -1.877 1.389
3.265 -7.888 2.483
-0.733 6.577 5.938
Ca Hg Au
6 4 6
Cartesian
-1.914 4.159 4.526
-4.411 0.540 2.801
-2.412 -2.331 6.968
0.900 -6.021 2.095
-0.648 -0.858 2.842
-3.226 -3.745 1.777
0.600 1.755 4.787
-0.863 -4.005 4.329
1.932 -3.067 3.635
-2.196 0.816 5.481
-4.660 2.778 4.822
-1.664 1.921 2.506
0.214 -1.304 5.707
-2.116 -6.429 2.622
-3.273 -1.885 4.103
-0.211 -3.337 1.250
```

***

5.
A plane-wave DFT calculation with GGA-PBE was carried out for a relaxed KW2Se4 crystal.

- total DFT energy (no corrections) (eV/cell) = -45.390

Cell and atoms, written as POSCAR:
```
KW2Se4
1.0
-1.469 0.640 -3.079
4.326 -3.122 -2.713
-5.094 -6.173 3.104
Se W K
4 2 1
Cartesian
-2.250 -1.327 -1.159
-2.576 -5.040 -1.775
0.012 -7.327 -1.529
0.338 -3.614 -0.913
-2.074 -3.443 0.274
-0.163 -5.212 -2.962
1.428 -1.241 -2.896
```

***

6.
A plane-wave DFT calculation with GGA-PBE was carried out for a relaxed NdDy8Cd2 crystal.

- formation energy (eV/atom) = 0.325

Cell and atoms, written as POSCAR:
```
NdDy8Cd2
1.0
-0.024 -4.738 2.322
-1.020 -4.969 -7.101
8.033 -2.609 -2.195
Dy Cd Nd
8 2 1
Cartesian
2.073 -6.062 -6.204
2.916 -4.537 -3.198
5.338 -6.332 -6.804
4.073 -7.779 -3.775
1.651 -5.984 -0.169
0.702 -7.352 -3.053
6.287 -4.964 -3.920
4.916 -6.254 -0.769
0.922 -3.105 -0.208
6.067 -9.211 -6.765
0.000 0.000 0.000
```

***

7.
A plane-wave DFT calculation with GGA-PBE was carried out for a relaxed CeSiPd2 crystal.

- total DFT energy (no corrections) (eV/cell) = -100.617

Cell and atoms, written as POSCAR:
```
CeSiPd2
1.0
5.591 0.000 0.000
0.000 6.857 0.000
0.000 0.000 7.749
Pd Ce Si
8 4 4
Cartesian
2.257 0.338 5.226
3.335 6.519 2.524
5.052 3.767 6.399
2.257 3.090 5.226
5.052 6.519 6.399
3.335 3.767 2.524
0.539 0.338 1.351
0.539 3.090 1.351
4.764 1.714 4.197
3.623 1.714 0.323
0.828 5.143 3.552
1.968 5.143 7.427
4.713 5.143 0.924
1.917 1.714 2.951
3.674 5.143 4.799
0.878 1.714 6.826
```

***

8.
A plane-wave DFT calculation with GGA-PBE was carried out for a relaxed KReAs2 crystal.

- formation energy (eV/atom) = -0.007
- energy relative to the lowest polymorph listed for this composition (meV per atom) = 92

Cell and atoms, written as POSCAR:
```
KReAs2
1.0
-6.524 -0.357 5.637
-4.913 -3.360 6.249
-3.779 -0.450 7.745
K As Re
1 2 1
Cartesian
-3.804 -1.042 4.908
-0.305 -0.084 0.394
-7.302 -2.000 9.422
-11.412 -3.125 14.724
```

***

| no. | ρ (g cm⁻³) |
| --- | --- |
| 1 | 5.618 |
| 2 | 10.204 |
| 3 | 6.345 |
| 4 | 8.904 |
| 5 | 7.048 |
| 6 | 7.295 |
| 7 | 8.518 |
| 8 | 7.147 |